This record from Alexandria via LeMat-Bulk describes crystalline Mg14GaSn at its relaxed geometry. The functional is PBE.

Structure (POSCAR):
```
Mg14GaSn
1.0
10.139 0.000 0.000
0.000 3.238 5.487
0.000 -3.238 5.487
Mg Ga Sn
14 1 1
Direct
0.000 0.000 0.000
0.000 0.497 0.999
0.000 0.499 0.499
0.000 0.999 0.497
0.250 0.830 0.830
0.255 0.332 0.332
0.257 0.335 0.825
0.257 0.825 0.335
0.500 0.000 0.501
0.500 0.501 0.000
0.743 0.335 0.825
0.743 0.825 0.335
0.745 0.332 0.332
0.750 0.830 0.830
0.500 0.496 0.496
0.500 0.998 0.998
```

Results
**Energy relative to the elements**: -0.037 eV/atom

***

This record from Alexandria via LeMat-Bulk describes crystalline Ac8CuRu2 at its relaxed geometry. The functional is PBE.

Structure (POSCAR):
```
Ac8CuRu2
1.0
8.217 -3.797 0.000
8.217 3.797 0.000
-2.057 0.000 6.543
Ac Cu Ru
8 1 2
Direct
0.079 0.079 0.277
0.123 0.614 0.169
0.312 0.312 0.642
0.386 0.877 0.831
0.614 0.123 0.169
0.688 0.688 0.358
0.877 0.386 0.831
0.921 0.921 0.723
0.500 0.500 0.000
0.233 0.233 0.180
0.767 0.767 0.820
```

Results
**Energy relative to the elements**: -0.049 eV/atom

***

This record from Alexandria via LeMat-Bulk describes crystalline NaMg14Mo at its relaxed geometry. The functional is PBE.

Structure (POSCAR):
```
NaMg14Mo
1.0
4.485 -4.491 0.000
4.485 4.491 0.000
0.000 0.000 8.767
Na Mg Mo
1 14 1
Direct
0.000 0.000 0.000
0.000 0.000 0.500
0.000 0.500 0.000
0.000 0.500 0.500
0.265 0.265 0.243
0.265 0.265 0.757
0.265 0.735 0.243
0.265 0.735 0.757
0.500 0.000 0.000
0.500 0.000 0.500
0.500 0.500 0.500
0.735 0.265 0.243
0.735 0.265 0.757
0.735 0.735 0.243
0.735 0.735 0.757
0.500 0.500 0.000
```

Results
**Energy relative to the elements**: 0.110 eV/atom

***

This record from Alexandria via LeMat-Bulk describes crystalline Dy3Zn3Pd at its relaxed geometry. The functional is PBE.

Structure (POSCAR):
```
Dy3Zn3Pd
1.0
-1.806 2.244 9.506
1.806 -2.244 9.506
1.806 2.244 -9.506
Dy Zn Pd
3 3 1
Direct
0.000 0.000 0.000
0.380 0.380 0.000
0.700 0.200 0.500
0.125 0.625 0.500
0.553 0.553 0.000
0.835 0.835 0.000
0.260 0.760 0.500
```

Results
**Energy relative to the elements**: -0.471 eV/atom

***

This record from Alexandria via LeMat-Bulk describes crystalline SrY2Ru at its relaxed geometry. The functional is PBE.

Structure (POSCAR):
```
SrY2Ru
1.0
1.819 1.050 10.505
-1.819 1.050 10.505
0.000 -2.100 10.505
Sr Y Ru
1 2 1
Direct
0.000 0.000 0.000
0.223 0.223 0.223
0.459 0.459 0.459
0.736 0.736 0.736
```

Results
**Energy relative to the elements**: 0.249 eV/atom

***

This record from Alexandria via LeMat-Bulk describes crystalline MnRh2S at its relaxed geometry. The functional is PBE.

Structure (POSCAR):
```
MnRh2S
1.0
-2.638 2.638 5.215
2.638 -2.638 5.215
2.638 2.638 -5.215
Mn Rh S
2 4 2
Direct
0.000 0.000 0.000
0.750 0.250 0.500
0.126 0.625 0.001
0.375 0.376 0.501
0.624 0.125 0.999
0.875 0.874 0.499
0.250 0.750 0.500
0.500 0.500 0.000
```

Results
**ΔE_f (raw)**: 1.7 eV per formula unit

***

What did the second record say?
This record from Alexandria via LeMat-Bulk describes crystalline Ac8CuRu2 at its relaxed geometry. The functional is PBE.

Structure (POSCAR):
```
Ac8CuRu2
1.0
8.217 -3.797 0.000
8.217 3.797 0.000
-2.057 0.000 6.543
Ac Cu Ru
8 1 2
Direct
0.079 0.079 0.277
0.123 0.614 0.169
0.312 0.312 0.642
0.386 0.877 0.831
0.614 0.123 0.169
0.688 0.688 0.358
0.877 0.386 0.831
0.921 0.921 0.723
0.500 0.500 0.000
0.233 0.233 0.180
0.767 0.767 0.820
```

Results
**Energy relative to the elements**: -0.049 eV/atom

***

Number 4 is which compound?
Dy3Zn3Pd

***

What did the first record say?
This record from Alexandria via LeMat-Bulk describes crystalline Mg14GaSn at its relaxed geometry. The functional is PBE.

Structure (POSCAR):
```
Mg14GaSn
1.0
10.139 0.000 0.000
0.000 3.238 5.487
0.000 -3.238 5.487
Mg Ga Sn
14 1 1
Direct
0.000 0.000 0.000
0.000 0.497 0.999
0.000 0.499 0.499
0.000 0.999 0.497
0.250 0.830 0.830
0.255 0.332 0.332
0.257 0.335 0.825
0.257 0.825 0.335
0.500 0.000 0.501
0.500 0.501 0.000
0.743 0.335 0.825
0.743 0.825 0.335
0.745 0.332 0.332
0.750 0.830 0.830
0.500 0.496 0.496
0.500 0.998 0.998
```

Results
**Energy relative to the elements**: -0.037 eV/atom